A relaxed ZnW2O4 crystal. Source: Alexandria, functional PBE+U.

abc: 3.3286 7.7133 8.0302
angles: 78.07 76.60 77.33
Closest atoms and distances in Å follow each position.
Fractional positions:
W  0.8677  0.5040  0.7938  6 O 1.98-2.22
W  0.3682  0.8273  0.4460  6 O 2.15-2.20
W  0.1461  0.5178  0.1731  6 O 1.98-2.21
W  0.6456  0.1946  0.5209  6 O 2.15-2.20
O  0.7740  0.3795  0.0642  1 Zn 2.08, 3 W 2.17-2.21
O  0.2399  0.6424  0.9027  1 Zn 2.08, 3 W 2.17-2.22
O  0.5608  0.6558  0.2453  3 W 2.02-2.19
O  0.1737  0.0200  0.6270  1 Zn 1.95, 1 W 2.19
O  0.8659  0.6844  0.5789  3 W 1.98-2.16
O  0.1480  0.3374  0.3879  3 W 1.98-2.16
O  0.8401  0.0019  0.3400  1 Zn 1.95, 1 W 2.18
O  0.4530  0.3661  0.7216  3 W 2.02-2.19
Zn  0.9083  0.0999  0.0924  2 O 1.95-2.08
Zn  0.1031  0.9221  0.8746  2 O 1.95-2.08

## Properties
Crystal system: triclinic
Total DFT energy (no corrections) in eV/atom: -6.67